Computed, not measured: crystalline PdBr2Cl at its relaxed geometry at the PBE level of DFT.

Unit cell a=11.613 b=11.613 c=11.613 alpha=15.46 beta=15.46 gamma=15.46
Sites, in units of the cell vectors:
1 Pd 0.000 0.000 0.000
2 Br 0.070 0.070 0.070
3 Br 0.930 0.930 0.930
4 Cl 0.500 0.500 0.500

Computed properties:
* ΔE_f (raw): 0.303 eV per atom
* relative energy among the computed polymorphs: 217 kJ/mol of formula units

---

Computed, not measured: crystalline PdBrCl3 at its relaxed geometry at the PBE level of DFT.

Unit cell a=4.872 b=4.872 c=4.872 alpha=90.00 beta=90.00 gamma=90.00
Sites, in units of the cell vectors:
1 Pd 0.000 0.000 0.000
2 Br 0.500 0.500 0.500
3 Cl 0.000 0.000 0.500
4 Cl 0.000 0.500 0.000
5 Cl 0.500 0.000 0.000

Computed properties:
* ΔE_f (raw): 0.062 eV per atom
* relative energy among the computed polymorphs: 167 kJ/mol of formula units

---

Computed, not measured: crystalline Pd2BrCl at its relaxed geometry at the PBE level of DFT.

Unit cell a=4.679 b=4.679 c=4.679 alpha=60.00 beta=60.00 gamma=60.00
Sites, in units of the cell vectors:
1 Pd 0.250 0.250 0.250
2 Pd 0.750 0.750 0.750
3 Br 0.000 0.000 0.000
4 Cl 0.500 0.500 0.500

Computed properties:
* ΔE_f (raw): 0.247 eV per atom
* relative energy among the computed polymorphs: 51 kJ/mol of formula units

---

Computed, not measured: crystalline PdBr2Cl at its relaxed geometry at the PBE level of DFT.

Unit cell a=7.090 b=7.090 c=7.090 alpha=97.06 beta=97.06 gamma=138.96
Sites, in units of the cell vectors:
1 Pd 0.000 0.000 0.000
2 Pd 0.750 0.250 0.500
3 Br 0.375 0.223 0.348
4 Br 0.777 0.125 0.152
5 Br 0.875 0.027 0.652
6 Br 0.973 0.625 0.848
7 Cl 0.250 0.750 0.500
8 Cl 0.500 0.500 0.000

Computed properties:
* ΔE_f (raw): -0.047 eV per atom
* relative energy among the computed polymorphs: 82 kJ/mol of formula units

---

Computed, not measured: crystalline PdBrCl4 at its relaxed geometry at the PBE level of DFT.

Unit cell a=9.418 b=9.418 c=6.254 alpha=93.54 beta=93.54 gamma=132.90
Sites, in units of the cell vectors:
1 Pd 0.054 0.946 0.750
2 Pd 0.946 0.054 0.250
3 Br 0.351 0.649 0.250
4 Br 0.649 0.351 0.750
5 Cl 0.026 0.341 0.123
6 Cl 0.131 0.228 0.591
7 Cl 0.228 0.131 0.091
8 Cl 0.341 0.026 0.623
9 Cl 0.659 0.974 0.377
10 Cl 0.772 0.869 0.909
11 Cl 0.869 0.772 0.409
12 Cl 0.974 0.659 0.877

Computed properties:
* ΔE_f (raw): -0.241 eV per atom
* relative energy among the computed polymorphs: 0 kJ/mol of formula units

---

Computed, not measured: crystalline PdBr2Cl at its relaxed geometry at the PBE level of DFT.

Unit cell a=8.447 b=8.447 c=8.447 alpha=26.94 beta=26.94 gamma=26.94
Sites, in units of the cell vectors:
1 Pd 0.000 0.000 0.000
2 Br 0.393 0.393 0.393
3 Br 0.607 0.607 0.607
4 Cl 0.500 0.500 0.500

Computed properties:
* ΔE_f (raw): 0.006 eV per atom
* relative energy among the computed polymorphs: 103 kJ/mol of formula units

---

Computed, not measured: crystalline Pd2Br6Cl at its relaxed geometry at the PBE level of DFT.

Unit cell a=9.690 b=9.690 c=6.967 alpha=109.18 beta=109.18 gamma=70.20
Sites, in units of the cell vectors:
1 Pd 0.164 0.334 0.497
2 Pd 0.334 0.164 0.997
3 Pd 0.666 0.836 0.003
4 Pd 0.836 0.666 0.503
5 Br 0.083 0.215 0.060
6 Br 0.100 0.600 0.461
7 Br 0.215 0.083 0.560
8 Br 0.273 0.418 0.920
9 Br 0.400 0.900 0.039
10 Br 0.418 0.273 0.420
11 Br 0.582 0.727 0.580
12 Br 0.600 0.100 0.961
13 Br 0.727 0.582 0.080
14 Br 0.785 0.917 0.440
15 Br 0.900 0.400 0.539
16 Br 0.917 0.785 0.940
17 Cl 0.405 0.595 0.250
18 Cl 0.595 0.405 0.750

Computed properties:
* ΔE_f (raw): -0.177 eV per atom

---

Computed, not measured: crystalline Pd2BrCl2 at its relaxed geometry at the PBE level of DFT.

Unit cell a=7.340 b=7.340 c=4.507 alpha=90.00 beta=90.00 gamma=90.00
Sites, in units of the cell vectors:
1 Pd 0.229 0.271 0.000
2 Pd 0.271 0.771 0.000
3 Pd 0.729 0.229 0.000
4 Pd 0.771 0.729 0.000
5 Br 0.000 0.000 0.000
6 Br 0.500 0.500 0.000
7 Cl 0.169 0.331 0.500
8 Cl 0.331 0.831 0.500
9 Cl 0.669 0.169 0.500
10 Cl 0.831 0.669 0.500

Computed properties:
* ΔE_f (raw): -0.138 eV per atom

---

Computed, not measured: crystalline PdBr3Cl at its relaxed geometry at the PBE level of DFT.

Unit cell a=5.287 b=5.287 c=5.287 alpha=90.00 beta=90.00 gamma=90.00
Sites, in units of the cell vectors:
1 Pd 0.000 0.000 0.000
2 Br 0.000 0.500 0.500
3 Br 0.500 0.000 0.500
4 Br 0.500 0.500 0.000
5 Cl 0.500 0.500 0.500

Computed properties:
* ΔE_f (raw): 0.722 eV per atom
* relative energy among the computed polymorphs: 431 kJ/mol of formula units

---

Computed, not measured: crystalline PdBrCl6 at its relaxed geometry at the PBE level of DFT.

Unit cell a=5.856 b=7.553 c=7.695 alpha=116.25 beta=95.44 gamma=105.61
Sites, in units of the cell vectors:
1 Pd 0.000 0.000 0.000
2 Br 0.000 0.000 0.500
3 Cl 0.135 0.750 0.789
4 Cl 0.243 0.021 0.271
5 Cl 0.414 0.576 0.949
6 Cl 0.586 0.424 0.051
7 Cl 0.757 0.979 0.729
8 Cl 0.865 0.250 0.211

Computed properties:
* ΔE_f (raw): -0.131 eV per atom

---

Computed, not measured: crystalline Pd3BrCl at its relaxed geometry at the PBE level of DFT.

Unit cell a=4.674 b=4.674 c=4.674 alpha=90.00 beta=90.00 gamma=90.00
Sites, in units of the cell vectors:
1 Pd 0.000 0.000 0.500
2 Pd 0.000 0.500 0.000
3 Pd 0.500 0.000 0.000
4 Br 0.500 0.500 0.500
5 Cl 0.000 0.000 0.000

Computed properties:
* ΔE_f (raw): 0.408 eV per atom
* relative energy among the computed polymorphs: 0 kJ/mol of formula units

---

Computed, not measured: crystalline PdBr2Cl2 at its relaxed geometry at the PBE level of DFT.

Unit cell a=6.384 b=6.384 c=8.112 alpha=90.00 beta=90.00 gamma=90.00
Sites, in units of the cell vectors:
1 Pd 0.000 0.000 0.000
2 Pd 0.500 0.500 0.000
3 Br 0.129 0.371 0.500
4 Br 0.371 0.871 0.500
5 Br 0.629 0.129 0.500
6 Br 0.871 0.629 0.500
7 Cl 0.176 0.676 0.000
8 Cl 0.324 0.176 0.000
9 Cl 0.676 0.824 0.000
10 Cl 0.824 0.324 0.000

Computed properties:
* ΔE_f (raw): -0.096 eV per atom
* relative energy among the computed polymorphs: 48 kJ/mol of formula units

---

Computed, not measured: crystalline Pd2Br3Cl at its relaxed geometry at the PBE level of DFT.

Unit cell a=7.700 b=7.700 c=6.527 alpha=90.00 beta=90.00 gamma=120.00
Sites, in units of the cell vectors:
1 Pd 0.000 0.000 0.000
2 Pd 0.000 0.500 0.000
3 Pd 0.500 0.000 0.000
4 Pd 0.500 0.500 0.000
5 Br 0.166 0.332 0.228
6 Br 0.166 0.834 0.228
7 Br 0.332 0.166 0.772
8 Br 0.668 0.834 0.228
9 Br 0.834 0.166 0.772
10 Br 0.834 0.668 0.772
11 Cl 0.333 0.667 0.804
12 Cl 0.667 0.333 0.196

Computed properties:
* ΔE_f (raw): -0.204 eV per atom

---

Computed, not measured: crystalline PdBrCl4 at its relaxed geometry at the PBE level of DFT.

Unit cell a=9.410 b=9.410 c=6.409 alpha=92.63 beta=92.63 gamma=41.98
Sites, in units of the cell vectors:
1 Pd 0.063 0.063 0.217
2 Pd 0.937 0.937 0.783
3 Br 0.293 0.293 0.795
4 Br 0.707 0.707 0.205
5 Cl 0.131 0.650 0.563
6 Cl 0.194 0.194 0.003
7 Cl 0.236 0.764 0.000
8 Cl 0.350 0.869 0.437
9 Cl 0.650 0.131 0.563
10 Cl 0.764 0.236 0.000
11 Cl 0.806 0.806 0.997
12 Cl 0.869 0.350 0.437

Computed properties:
* ΔE_f (raw): -0.172 eV per atom
* relative energy among the computed polymorphs: 40 kJ/mol of formula units

---

Computed, not measured: crystalline Pd2BrCl at its relaxed geometry at the PBE level of DFT.

Unit cell a=7.071 b=7.071 c=7.071 alpha=131.10 beta=131.10 gamma=71.65
Sites, in units of the cell vectors:
1 Pd 0.113 0.625 0.988
2 Pd 0.375 0.363 0.488
3 Pd 0.637 0.125 0.012
4 Pd 0.875 0.887 0.512
5 Br 0.250 0.750 0.500
6 Br 0.500 0.500 0.000
7 Cl 0.000 0.000 0.000
8 Cl 0.750 0.250 0.500

Computed properties:
* ΔE_f (raw): 0.114 eV per atom
* relative energy among the computed polymorphs: 0 kJ/mol of formula units

---

Computed, not measured: crystalline PdBr2Cl at its relaxed geometry at the PBE level of DFT.

Unit cell a=6.587 b=6.160 c=10.755 alpha=90.00 beta=90.00 gamma=90.00
Sites, in units of the cell vectors:
1 Pd 0.250 0.000 0.092
2 Pd 0.250 0.500 0.408
3 Pd 0.750 0.000 0.908
4 Pd 0.750 0.500 0.592
5 Br 0.068 0.222 0.919
6 Br 0.068 0.278 0.581
7 Br 0.432 0.722 0.581
8 Br 0.432 0.778 0.919
9 Br 0.568 0.222 0.081
10 Br 0.568 0.278 0.419
11 Br 0.932 0.722 0.419
12 Br 0.932 0.778 0.081
13 Cl 0.114 0.250 0.250
14 Cl 0.386 0.750 0.250
15 Cl 0.614 0.250 0.750
16 Cl 0.886 0.750 0.750

Computed properties:
* ΔE_f (raw): -0.261 eV per atom
* relative energy among the computed polymorphs: 0 kJ/mol of formula units

---

Computed, not measured: crystalline PdBr3Cl at its relaxed geometry at the PBE level of DFT.

Unit cell a=5.511 b=7.589 c=7.027 alpha=90.00 beta=103.09 gamma=90.00
Sites, in units of the cell vectors:
1 Pd 0.004 0.250 0.000
2 Pd 0.996 0.750 0.000
3 Br 0.194 0.000 0.844
4 Br 0.194 0.500 0.844
5 Br 0.378 0.250 0.284
6 Br 0.622 0.750 0.716
7 Br 0.806 0.000 0.156
8 Br 0.806 0.500 0.156
9 Cl 0.343 0.750 0.268
10 Cl 0.657 0.250 0.732

Computed properties:
* ΔE_f (raw): -0.171 eV per atom
* relative energy among the computed polymorphs: 0 kJ/mol of formula units

---

Computed, not measured: crystalline PdBrCl3 at its relaxed geometry at the PBE level of DFT.

Unit cell a=6.012 b=7.295 c=6.115 alpha=90.00 beta=108.47 gamma=90.00
Sites, in units of the cell vectors:
1 Pd 0.001 0.250 0.000
2 Pd 0.999 0.750 0.000
3 Br 0.403 0.750 0.308
4 Br 0.597 0.250 0.692
5 Cl 0.135 0.502 0.817
6 Cl 0.135 0.998 0.817
7 Cl 0.393 0.250 0.288
8 Cl 0.607 0.750 0.712
9 Cl 0.865 0.002 0.183
10 Cl 0.865 0.498 0.183

Computed properties:
* ΔE_f (raw): -0.185 eV per atom
* relative energy among the computed polymorphs: 48 kJ/mol of formula units

---

Computed, not measured: crystalline PdBr2Cl at its relaxed geometry at the PBE level of DFT.

Unit cell a=4.921 b=4.921 c=4.921 alpha=60.00 beta=60.00 gamma=60.00
Sites, in units of the cell vectors:
1 Pd 0.000 0.000 0.000
2 Br 0.250 0.250 0.250
3 Br 0.750 0.750 0.750
4 Cl 0.500 0.500 0.500

Computed properties:
* ΔE_f (raw): 0.499 eV per atom
* relative energy among the computed polymorphs: 293 kJ/mol of formula units

---

Computed, not measured: crystalline Rb2PdBrCl6 at its relaxed geometry at the PBE level of DFT.

Unit cell a=7.638 b=7.638 c=7.638 alpha=122.99 beta=122.99 gamma=84.89
Sites, in units of the cell vectors:
1 Rb 0.250 0.750 0.500
2 Rb 0.750 0.250 0.500
3 Pd 0.000 0.000 0.000
4 Br 0.500 0.500 0.000
5 Cl 0.209 0.209 0.000
6 Cl 0.234 0.234 0.469
7 Cl 0.234 0.766 0.000
8 Cl 0.766 0.234 0.000
9 Cl 0.766 0.766 0.531
10 Cl 0.791 0.791 0.000

Computed properties:
* ΔE_f (raw): -0.954 eV per atom

---

Computed, not measured: crystalline RbPdBrCl2 at its relaxed geometry at the PBE level of DFT.

Unit cell a=5.016 b=5.016 c=5.266 alpha=90.00 beta=90.00 gamma=90.00
Sites, in units of the cell vectors:
1 Rb 0.000 0.000 0.000
2 Pd 0.500 0.500 0.500
3 Br 0.500 0.500 0.000
4 Cl 0.000 0.500 0.500
5 Cl 0.500 0.000 0.500

Computed properties:
* ΔE_f (raw): -1.003 eV per atom

---

Computed, not measured: crystalline PdRhBr2Cl at its relaxed geometry at the PBE level of DFT.

Unit cell a=5.168 b=5.168 c=4.736 alpha=90.00 beta=90.00 gamma=90.00
Sites, in units of the cell vectors:
1 Pd 0.000 0.000 0.000
2 Rh 0.500 0.500 0.500
3 Br 0.000 0.500 0.000
4 Br 0.500 0.000 0.000
5 Cl 0.000 0.000 0.500

Computed properties:
* ΔE_f (raw): 0.467 eV per atom

---

Computed, not measured: crystalline PdSBrCl2 at its relaxed geometry at the PBE level of DFT.

Unit cell a=5.153 b=5.153 c=4.933 alpha=90.00 beta=90.00 gamma=90.00
Sites, in units of the cell vectors:
1 Pd 0.000 0.000 0.000
2 S 0.500 0.500 0.000
3 Br 0.500 0.500 0.500
4 Cl 0.000 0.500 0.500
5 Cl 0.500 0.000 0.500

Computed properties:
* ΔE_f (raw): 0.867 eV per atom
* relative energy among the computed polymorphs: 290 kJ/mol of formula units

---

Computed, not measured: crystalline PdS2BrCl at its relaxed geometry at the PBE level of DFT.

Unit cell a=4.754 b=4.754 c=4.812 alpha=90.00 beta=90.00 gamma=90.00
Sites, in units of the cell vectors:
1 Pd 0.000 0.000 0.000
2 S 0.000 0.500 0.000
3 S 0.500 0.000 0.000
4 Br 0.500 0.500 0.500
5 Cl 0.000 0.000 0.500

Computed properties:
* ΔE_f (raw): 0.486 eV per atom
* relative energy among the computed polymorphs: 0 kJ/mol of formula units

---

Computed, not measured: crystalline PdSBrCl2 at its relaxed geometry at the PBE level of DFT.

Unit cell a=4.655 b=4.655 c=5.538 alpha=90.00 beta=90.00 gamma=90.00
Sites, in units of the cell vectors:
1 Pd 0.000 0.000 0.000
2 S 0.500 0.500 0.500
3 Br 0.500 0.500 0.000
4 Cl 0.000 0.500 0.500
5 Cl 0.500 0.000 0.500

Computed properties:
* ΔE_f (raw): 0.470 eV per atom
* relative energy among the computed polymorphs: 99 kJ/mol of formula units